No. 1
A plane-wave DFT calculation with GGA-PBE was carried out for La2HgPtO5 after structural relaxation.

abc: 7.150 7.150 5.662
angles: 90.00 90.00 90.00
Fractional coordinates of all 18 atoms:
La1 0.180 0.320 0.000
La2 0.320 0.820 0.000
La3 0.680 0.180 0.000
La4 0.820 0.680 0.000
Hg1 0.000 0.000 0.500
Hg2 0.500 0.500 0.500
Pt1 0.000 0.500 0.500
Pt2 0.500 0.000 0.500
O1 0.000 0.000 0.000
O2 0.133 0.633 0.245
O3 0.133 0.633 0.755
O4 0.367 0.133 0.245
O5 0.367 0.133 0.755
O6 0.500 0.500 0.000
O7 0.633 0.867 0.245
O8 0.633 0.867 0.755
O9 0.867 0.367 0.245
O10 0.867 0.367 0.755

Output
As for the formation energy (no corrections): -1943 meV/atom. The calculation puts the density of states at the Fermi level at 15.431 states/eV per cell. The total energy is -116.94 eV for the cell shown. Its calculated volume is 289.4 Å³/cell.



No. 2
A plane-wave DFT calculation with GGA-PBE was carried out for NdPu2C after structural relaxation.

abc: 3.186 3.186 8.843
angles: 90.00 90.00 90.00
Fractional coordinates of all 4 atoms:
Nd1 0.000 0.000 0.000
Pu1 0.500 0.500 0.347
Pu2 0.500 0.500 0.653
C1 0.000 0.000 0.500

Output
The calculation puts the distance to the lowest polymorph of the same formula at 0.000 eV/atom. The calculation puts the density of states at the Fermi level at 9.797 states/eV per cell. The value obtained for the formation energy from the elements is 245 meV per atom. The total energy is -41.67 eV for the cell shown. Its calculated volume is 89.8 Å³/cell.



No. 3
A plane-wave DFT calculation with GGA-PBE was carried out for TiZnSbO6 after structural relaxation.

abc: 5.221 5.221 8.869
angles: 90.00 90.00 120.00
Fractional coordinates of all 18 atoms:
Ti1 0.333 0.667 0.250
Ti2 0.667 0.333 0.750
Zn1 0.000 0.000 0.000
Zn2 0.000 0.000 0.500
Sb1 0.333 0.667 0.750
Sb2 0.667 0.333 0.250
O1 0.005 0.353 0.132
O2 0.005 0.652 0.368
O3 0.348 0.353 0.368
O4 0.348 0.995 0.132
O5 0.353 0.005 0.632
O6 0.353 0.348 0.868
O7 0.647 0.652 0.132
O8 0.647 0.995 0.368
O9 0.652 0.005 0.868
O10 0.652 0.647 0.632
O11 0.995 0.348 0.632
O12 0.995 0.647 0.868

Output
As for the formation energy (no corrections): -1683 meV/atom. The calculation puts the density of states at the Fermi level at 6.422 states/eV per cell. The total energy is -116.37 eV for the cell shown. Its calculated volume is 209.4 Å³/cell.



> Among the records above, which one has the lowest calculated volume?

NdPu2C